1.
DFT (PBE-GGA) results for crystalline Nd2Y3ScSe6 at its relaxed geometry.

Lattice parameters (Å, degrees): 17.867 4.088 8.257 90.00 103.09 90.00
Space group C2/m (No. 12)
Symmetry-distinct sites (fractional):
Nd  0.168  0.000  0.335 (multiplicity 4)
Y  0.000  0.500  0.500 (multiplicity 2)
Y  0.173  0.000  0.835 (multiplicity 4)
Sc  0.000  0.500  0.000 (multiplicity 2)
Se  0.004  0.000  0.763 (multiplicity 4)
Se  0.160  0.500  0.071 (multiplicity 4)
Se  0.163  0.500  0.591 (multiplicity 4)

=====

2.
DFT (PBE-GGA) results for crystalline Nd4YSc3Se8 at its relaxed geometry.

Lattice parameters (Å, degrees): 8.0608 8.0608 20.5269 90.00 90.00 120.00
Space group R-3m (No. 166, hexagonal axes)
Symmetry-distinct sites (fractional):
Nd  0.0000  0.0000  0.0000 (multiplicity 3)
Nd  0.0000  0.5000  0.0000 (multiplicity 9)
Y  0.0000  0.0000  0.5000 (multiplicity 3)
Sc  0.0000  0.5000  0.5000 (multiplicity 9)
Se  0.0000  0.0000  0.2400 (multiplicity 6)
Se  0.0079  0.5039  0.7582 (multiplicity 18)

=====

3.
DFT (PBE-GGA) results for crystalline Nd3Y2ScSe6 at its relaxed geometry.

Lattice parameters (Å, degrees): 18.071 4.086 8.347 90.00 104.71 90.00
Space group C2/m (No. 12)
Symmetry-distinct sites (fractional):
Nd  0.000  0.000  0.000 (multiplicity 2)
Nd  0.169  0.500  0.336 (multiplicity 4)
Y  0.166  0.500  0.832 (multiplicity 4)
Sc  0.000  0.000  0.500 (multiplicity 2)
Se  0.001  0.500  0.731 (multiplicity 4)
Se  0.158  0.000  0.588 (multiplicity 4)
Se  0.170  0.000  0.076 (multiplicity 4)

=====

no.,formation energy without anion corrections (meV/atom)
1,-1747
2,-1721
3,-1767